Record 1
Here is a geometry-optimized Cs3Ni5Te12 structure from Alexandria via LeMat-Bulk. Energies are from PBE.

Summary:
Space group   Ia-3d, No. 230
DOS(E_F)   0.6477 states/eV/atom
Raw formation energy   -0.162 eV/atom

Unit cell a=15.1785 b=15.1785 c=15.1785 alpha=109.47 beta=109.47 gamma=109.47
Last column: nearest neighbours and their distance in Å.
Fractional coordinates of all 80 atoms:
Te (0.3836, 0.3256, 0.3017)  2 Ni 2.48-2.69
Te (0.4420, 0.0238, 0.8256)  2 Ni 2.48-2.69
Cs (0.6250, 0.3750, 0.7500)  8 Te 3.78-4.11
Te (0.5580, 0.5819, 0.8836)  2 Ni 2.48-2.69
Te (0.4181, 0.4420, 0.6164)  2 Ni 2.48-2.69
Te (0.0580, 0.6744, 0.4762)  2 Ni 2.48-2.69
Cs (0.8750, 0.1250, 0.2500)  8 Te 3.78-4.11
Te (0.8256, 0.3017, 0.8836)  2 Ni 2.48-2.69
Te (0.3017, 0.4762, 0.4181)  2 Ni 2.48-2.69
Te (0.9762, 0.5580, 0.6744)  2 Ni 2.48-2.69
Te (0.0819, 0.1983, 0.5238)  2 Ni 2.48-2.69
Te (0.0238, 0.5819, 0.1983)  2 Ni 2.48-2.69
Ni (0.2500, 0.3750, 0.6250)  4 Te 2.48
Te (0.1164, 0.1983, 0.1744)  2 Ni 2.48-2.69
Cs (0.3750, 0.6250, 0.2500)  8 Te 3.78-4.11
Te (0.6164, 0.9420, 0.4181)  2 Ni 2.48-2.69
Ni (0.0000, 0.0000, 0.0000)  6 Te 2.69
Te (0.9181, 0.8017, 0.4762)  2 Ni 2.48-2.69
Te (0.6983, 0.5238, 0.5819)  2 Ni 2.48-2.69
Cs (0.3750, 0.7500, 0.6250)  8 Te 3.78-4.11
Ni (0.5000, 0.0000, 0.5000)  6 Te 2.69
Ni (0.8750, 0.2500, 0.6250)  4 Te 2.48
Ni (0.5000, 0.5000, 0.5000)  6 Te 2.69
Ni (0.1250, 0.7500, 0.3750)  4 Te 2.48
Te (0.4762, 0.3017, 0.9181)  2 Ni 2.48-2.69
Te (0.4762, 0.1744, 0.0580)  2 Ni 2.48-2.69
Ni (0.1250, 0.3750, 0.2500)  4 Te 2.48
Ni (0.7500, 0.6250, 0.3750)  4 Te 2.48
Te (0.1744, 0.4762, 0.5580)  2 Ni 2.48-2.69
Te (0.5819, 0.0238, 0.6983)  2 Ni 2.48-2.69
Ni (0.6250, 0.8750, 0.2500)  4 Te 2.48
Ni (0.3750, 0.1250, 0.7500)  4 Te 2.48
Te (0.5238, 0.6983, 0.0819)  2 Ni 2.48-2.69
Ni (0.2500, 0.8750, 0.1250)  4 Te 2.48
Cs (0.2500, 0.1250, 0.3750)  8 Te 3.78-4.11
Ni (0.5000, 0.0000, 0.0000)  6 Te 2.69
Te (0.0580, 0.3836, 0.0819)  2 Ni 2.48-2.69
Ni (0.0000, 0.0000, 0.5000)  6 Te 2.69
Te (0.5238, 0.8256, 0.9420)  2 Ni 2.48-2.69
Te (0.9420, 0.6164, 0.9181)  2 Ni 2.48-2.69
Te (0.9762, 0.4181, 0.8017)  2 Ni 2.48-2.69
Te (0.0238, 0.4420, 0.3256)  2 Ni 2.48-2.69
Te (0.1164, 0.9181, 0.4420)  2 Ni 2.48-2.69
Te (0.8256, 0.5238, 0.4420)  2 Ni 2.48-2.69
Cs (0.2500, 0.6250, 0.8750)  8 Te 3.78-4.11
Ni (0.5000, 0.5000, 0.0000)  6 Te 2.69
Te (0.3256, 0.9420, 0.0238)  2 Ni 2.48-2.69
Cs (0.6250, 0.2500, 0.3750)  8 Te 3.78-4.11
Te (0.8017, 0.9181, 0.9762)  2 Ni 2.48-2.69
Ni (0.0000, 0.5000, 0.0000)  6 Te 2.69
Ni (0.8750, 0.6250, 0.7500)  4 Te 2.48
Te (0.0819, 0.8836, 0.0580)  2 Ni 2.48-2.69
Te (0.3256, 0.3836, 0.8017)  2 Ni 2.48-2.69
Te (0.1983, 0.1164, 0.6744)  2 Ni 2.48-2.69
Cs (0.8750, 0.7500, 0.1250)  8 Te 3.78-4.11
Cs (0.7500, 0.8750, 0.6250)  8 Te 3.78-4.11
Te (0.5819, 0.5580, 0.3836)  2 Ni 2.48-2.69
Te (0.5580, 0.9762, 0.1744)  2 Ni 2.48-2.69
Te (0.3017, 0.8256, 0.3836)  2 Ni 2.48-2.69
Ni (0.6250, 0.7500, 0.8750)  4 Te 2.48
Te (0.4420, 0.4181, 0.1164)  2 Ni 2.48-2.69
Te (0.9181, 0.1164, 0.9420)  2 Ni 2.48-2.69
Te (0.8836, 0.8017, 0.8256)  2 Ni 2.48-2.69
Te (0.8017, 0.8836, 0.3256)  2 Ni 2.48-2.69
Te (0.1983, 0.0819, 0.0238)  2 Ni 2.48-2.69
Te (0.1744, 0.6983, 0.1164)  2 Ni 2.48-2.69
Ni (0.0000, 0.5000, 0.5000)  6 Te 2.69
Te (0.8836, 0.0819, 0.5580)  2 Ni 2.48-2.69
Ni (0.7500, 0.1250, 0.8750)  4 Te 2.48
Te (0.6744, 0.6164, 0.1983)  2 Ni 2.48-2.69
Cs (0.1250, 0.8750, 0.7500)  8 Te 3.78-4.11
Cs (0.7500, 0.3750, 0.1250)  8 Te 3.78-4.11
Ni (0.3750, 0.2500, 0.1250)  4 Te 2.48
Te (0.6164, 0.6744, 0.6983)  2 Ni 2.48-2.69
Te (0.6744, 0.0580, 0.9762)  2 Ni 2.48-2.69
Te (0.9420, 0.3256, 0.5238)  2 Ni 2.48-2.69
Te (0.3836, 0.0580, 0.5819)  2 Ni 2.48-2.69
Te (0.6983, 0.1744, 0.6164)  2 Ni 2.48-2.69
Cs (0.1250, 0.2500, 0.8750)  8 Te 3.78-4.11
Te (0.4181, 0.9762, 0.3017)  2 Ni 2.48-2.69


Record 2
Here is a geometry-optimized CsNi3Te structure from Alexandria via LeMat-Bulk. Energies are from PBE.

Summary:
Space group   Pm-3m, No. 221
DOS(E_F)   1.7339 states/eV/atom
Relative energy among the computed polymorphs   0.000 eV/f.u.
Raw formation energy   0.547 eV/atom

Unit cell a=4.9079 b=4.9079 c=4.9079 alpha=90.00 beta=90.00 gamma=90.00
Last column: nearest neighbours and their distance in Å.
Fractional coordinates of all 5 atoms:
Te (0.0000, 0.0000, 0.0000)  6 Ni 2.45
Ni (0.5000, 0.0000, 0.0000)  2 Te 2.45
Ni (0.0000, 0.0000, 0.5000)  2 Te 2.45
Ni (0.0000, 0.5000, 0.0000)  2 Te 2.45
Cs (0.5000, 0.5000, 0.5000)  12 Ni 3.47


Record 3
Here is a geometry-optimized CsNi3Te structure from Alexandria via LeMat-Bulk. Energies are from PBE.

Summary:
Space group   Pm-3m, No. 221
DOS(E_F)   1.3292 states/eV/atom
Relative energy among the computed polymorphs   6.170 eV/f.u.
Raw formation energy   1.781 eV/atom

Unit cell a=4.8475 b=4.8475 c=4.8475 alpha=90.00 beta=90.00 gamma=90.00
Last column: nearest neighbours and their distance in Å.
Fractional coordinates of all 5 atoms:
Ni (0.0000, 0.5000, 0.0000)  2 Cs 2.42
Te (0.5000, 0.5000, 0.5000)  12 Ni 3.43
Ni (0.0000, 0.0000, 0.5000)  2 Cs 2.42
Ni (0.5000, 0.0000, 0.0000)  2 Cs 2.42
Cs (0.0000, 0.0000, 0.0000)  6 Ni 2.42


Record 4
Here is a geometry-optimized Cs2Ni2Te structure from Alexandria via LeMat-Bulk. Energies are from PBE.

Summary:
Space group   I4/mmm, No. 139
DOS(E_F)   1.4298 states/eV/atom
Raw formation energy   0.229 eV/atom

Unit cell a=3.5404 b=3.5404 c=12.0421 alpha=81.55 beta=81.55 gamma=90.00
Last column: nearest neighbours and their distance in Å.
Fractional coordinates of all 5 atoms:
Ni (0.2500, 0.7500, 0.5000)  4 Ni 2.50
Cs (0.6214, 0.6214, 0.7572)  4 Ni 3.51, 4 Cs 3.54, 4 Te 3.80
Cs (0.3786, 0.3786, 0.2428)  4 Ni 3.51, 4 Cs 3.54, 4 Te 3.80
Te (0.0000, 0.0000, 0.0000)  4 Te 3.54, 8 Cs 3.80
Ni (0.7500, 0.2500, 0.5000)  4 Ni 2.50